[1]
Compound: InF3
Source: Alexandria
Functional: PBE
Structure: relaxed

Cell lengths 3.103, 4.902, 4.574 Å; angles 122.40, 109.83, 90.00 degrees
Atoms (fractional coordinates):
F  0.320  0.702  0.640
F  0.500  0.348  0.000
F  0.680  0.062  0.360
In  0.000  0.055  0.000

- uncorrected formation energy (kJ/mol of atoms) = -226.4

***

[2]
Compound: Zn2CrRh
Source: Alexandria
Functional: PBE
Structure: relaxed

Cell lengths 2.635, 2.635, 8.754 Å; angles 90.00, 90.00, 114.67 degrees
Atoms (fractional coordinates):
Cr  0.000  0.000  0.506
Rh  0.500  0.500  0.740
Zn  0.000  0.000  0.996
Zn  0.500  0.500  0.259

- E_form (eV/atom) = 0.090

***

[3]
Compound: ErMg2Pd
Source: Alexandria
Functional: PBE
Structure: relaxed

Cell lengths 4.851, 4.851, 4.856 Å; angles 60.03, 60.03, 60.00 degrees
Atoms (fractional coordinates):
Mg  0.750  0.750  0.749
Mg  0.250  0.250  0.251
Pd  0.500  0.500  0.500
Er  0.000  0.000  0.000

- E_form (eV/atom) = -0.256

***

[4]
Compound: Pm4Sm6Zr
Source: Alexandria
Functional: PBE
Structure: relaxed

Cell lengths 8.792, 8.792, 9.350 Å; angles 90.00, 90.00, 90.00 degrees
Atoms (fractional coordinates):
Pm  0.355  0.145  0.250
Pm  0.145  0.645  0.750
Pm  0.645  0.855  0.750
Pm  0.855  0.355  0.750
Pm  0.355  0.145  0.750
Pm  0.145  0.645  0.250
Pm  0.855  0.355  0.250
Pm  0.645  0.855  0.250
Sm  0.341  0.850  0.500
Sm  0.841  0.650  0.000
Sm  0.650  0.159  0.000
Sm  0.150  0.341  0.500
Sm  0.000  0.000  0.177
Sm  0.500  0.500  0.323
Sm  0.350  0.841  0.000
Sm  0.000  0.000  0.823
Sm  0.159  0.350  0.000
Sm  0.500  0.500  0.677
Sm  0.850  0.659  0.500
Sm  0.659  0.150  0.500
Zr  0.500  0.500  0.000
Zr  0.000  0.000  0.500

- E_form (eV/atom) = 0.141

***

[5]
Compound: Ce2AgAu3
Source: Alexandria
Functional: PBE
Structure: relaxed

Cell lengths 5.873, 5.873, 9.031 Å; angles 102.10, 102.10, 110.80 degrees
Atoms (fractional coordinates):
Ce  0.250  0.750  0.500
Ce  0.756  0.756  0.000
Ce  0.750  0.250  0.500
Ce  0.244  0.244  0.000
Ag  0.666  0.666  0.333
Ag  0.334  0.334  0.667
Au  0.336  0.831  0.168
Au  0.169  0.664  0.832
Au  0.664  0.169  0.832
Au  0.831  0.336  0.168
Au  0.168  0.168  0.336
Au  0.832  0.832  0.664

- E_form (eV/atom) = -0.564

***

[6]
Compound: Gd2MnIn
Source: Alexandria
Functional: PBE
Structure: relaxed

Cell lengths 4.317, 4.814, 4.814 Å; angles 90.00, 90.00, 90.00 degrees
Atoms (fractional coordinates):
Gd  0.000  0.000  0.500
Gd  0.000  0.500  0.000
Mn  0.500  0.000  0.000
In  0.500  0.500  0.500

- E_form (eV/atom) = -0.126

***

no.,uncorrected energy (eV for the cell shown)
1,-17.738
2,-19.164
3,-13.970
4,-108.633
5,-55.867
6,-40.574